Computed, not measured: a PBEsol-optimized structure of K2Mg3P4H20O24 at the SCAN level of DFT.

Values from the calculation:
Total DFT energy (no corrections) ... -7.315 eV per atom
Space group ... P2_1/c
Mass density ... 2.264 g cm⁻³
Spin magnetization ... 0.0 μB per cell

Lattice parameters (Å, degrees): 6.5699 7.4464 20.3942 93.33 90.00 90.00
Fractional positions:
O 0.6612 0.7521 0.2833
O 0.9217 0.2651 0.4885
O 0.6655 0.5992 0.6598
O 0.2949 0.0120 0.9248
O 0.0218 0.5359 0.2861
O 0.2051 0.0120 0.4248
O 0.5318 0.4877 0.0908
O 0.4782 0.5359 0.7861
O 0.2731 0.0672 0.0711
O 0.3345 0.4008 0.3402
O 0.1612 0.2479 0.2167
O 0.4682 0.5123 0.9092
O 0.5783 0.2651 0.9885
O 0.4217 0.7349 0.0115
O 0.7393 0.2451 0.3051
O 0.8345 0.5992 0.1598
O 0.5097 0.0566 0.1817
O 0.8388 0.7521 0.7833
O 0.0318 0.5123 0.4092
O 0.7731 0.9328 0.4289
O 0.3388 0.2479 0.7167
O 0.2393 0.7549 0.1949
O 0.1447 0.4018 0.0721
O 0.7051 0.9880 0.0752
O 0.2607 0.7549 0.6949
O 0.2269 0.0672 0.5711
O 0.7607 0.2451 0.8051
O 0.2746 0.7248 0.3564
O 0.8553 0.5982 0.9279
O 0.6447 0.5982 0.4279
O 0.7254 0.2752 0.6436
O 0.6067 0.9875 0.6836
O 0.5218 0.4641 0.2139
O 0.1067 0.0125 0.8164
O 0.9682 0.4877 0.5908
O 0.2254 0.7248 0.8564
O 0.9782 0.4641 0.7139
O 0.9903 0.0566 0.6817
O 0.7269 0.9328 0.9289
O 0.1655 0.4008 0.8402
O 0.0097 0.9434 0.3183
O 0.3553 0.4018 0.5721
O 0.7949 0.9880 0.5752
O 0.4903 0.9434 0.8183
O 0.8933 0.9875 0.1836
O 0.7746 0.2752 0.1436
O 0.3933 0.0125 0.3164
O 0.0783 0.7349 0.5115
H 0.9280 0.3481 0.5294
H 0.5599 0.8502 0.2941
H 0.5720 0.3481 0.0294
H 0.3238 0.6466 0.2014
H 0.8393 0.9352 0.3848
H 0.4818 0.6626 0.0466
H 0.0182 0.6626 0.5466
H 0.7132 0.5584 0.9147
H 0.2132 0.4416 0.5853
H 0.5182 0.3374 0.9534
H 0.4128 0.3556 0.7359
H 0.9401 0.8502 0.7941
H 0.2117 0.1919 0.0711
H 0.1607 0.0648 0.6152
H 0.0872 0.3556 0.2359
H 0.5610 0.5874 0.3878
H 0.0720 0.6519 0.4706
H 0.4280 0.6519 0.9706
H 0.8238 0.3534 0.2986
H 0.8361 0.1426 0.3057
H 0.1639 0.8574 0.6943
H 0.5872 0.6444 0.2641
H 0.2883 0.1919 0.5711
H 0.2868 0.4416 0.0853
H 0.3393 0.0648 0.1152
H 0.7868 0.5584 0.4147
H 0.0610 0.4126 0.1122
H 0.4401 0.1498 0.7059
H 0.7117 0.8081 0.4289
H 0.4390 0.4126 0.6122
H 0.9818 0.3374 0.4534
H 0.6607 0.9352 0.8848
H 0.6762 0.3534 0.7986
H 0.7883 0.8081 0.9289
H 0.6639 0.1426 0.8057
H 0.1762 0.6466 0.7014
H 0.0599 0.1498 0.2059
H 0.9128 0.6444 0.7641
H 0.9390 0.5874 0.8878
H 0.3361 0.8574 0.1943
P 0.2848 0.9370 0.8543
P 0.8404 0.4667 0.6530
P 0.6596 0.4667 0.1530
P 0.7848 0.0630 0.6457
P 0.2152 0.9370 0.3543
P 0.3404 0.5333 0.8470
P 0.1596 0.5333 0.3470
P 0.7152 0.0630 0.1457
K 0.4763 0.7639 0.5575
K 0.0237 0.7639 0.0575
K 0.5237 0.2361 0.4425
K 0.9763 0.2361 0.9425
Mg 0.5618 0.7661 0.7368
Mg 0.4382 0.2339 0.2632
Mg 0.0618 0.2339 0.7632
Mg 0.0000 0.0000 0.5000
Mg 0.5000 0.0000 0.0000
Mg 0.9382 0.7661 0.2368

Computed, not measured: a PBEsol-optimized structure of SrNi2Rh at the SCAN level of DFT.

Values from the calculation:
Energy relative to the elements ... 851 meV/atom
Space group ... R-3m
Mass density ... 8.322 g cm⁻³
Excess energy over the best structure of this formula in the dataset ... 3.78 eV per formula unit
Spin magnetization ... 1.7 μB per cell

Lattice parameters (Å, degrees): 2.8233 2.8233 9.0489 81.03 81.03 60.00
Fractional positions:
Rh 0.5000 0.5000 0.5000
Ni 0.7606 0.7606 0.7182
Ni 0.2394 0.2394 0.2818
Sr 0.0000 0.0000 0.0000

Computed, not measured: a PBEsol-optimized structure of La2SiO at the SCAN level of DFT.

Values from the calculation:
Space group ... I-42d
Mass density ... 5.606 g cm⁻³
Spin magnetization ... 0.0 μB per cell
Raw formation energy ... -1762.0 meV per atom

Lattice parameters (Å, degrees): 7.0238 7.0238 6.2935 123.92 123.92 90.00
Fractional positions:
O 0.7500 0.2500 0.5000
O 0.5000 0.5000 0.0000
La 0.6250 0.5547 0.7500
La 0.1250 0.1953 0.7500
La 0.4453 0.8750 0.2500
La 0.8047 0.3750 0.2500
Si 0.2500 0.7500 0.5000
Si 0.0000 0.0000 0.0000

Computed, not measured: a PBEsol-optimized structure of SrYSi2 at the SCAN level of DFT.

Values from the calculation:
Space group ... Imm2
Mass density ... 4.044 g cm⁻³
Excess energy over the best structure of this formula in the dataset ... 0.00 eV per formula unit
Spin magnetization ... 0.0 μB per cell
Raw formation energy ... -455.8 meV per atom

Lattice parameters (Å, degrees): 3.7629 4.4828 6.3753 110.58 107.16 90.00
Fractional positions:
Si 0.7105 0.2105 0.4210
Si 0.0699 0.0699 0.1398
Y 0.2427 0.7427 0.4854
Sr 0.4769 0.4769 0.9537

Computed, not measured: a PBEsol-optimized structure of YInAsSe2 at the SCAN level of DFT.

Values from the calculation:
Space group ... P4/mmm
Mass density ... 5.451 g cm⁻³
Spin magnetization ... 0.0 μB per cell
Raw formation energy ... -201.4 meV per atom

Lattice parameters (Å, degrees): 5.0532 5.1299 5.1299 90.00 90.00 90.00
Fractional positions:
Se 0.0000 0.0000 0.5000
Se 0.0000 0.5000 0.0000
In 0.0000 0.0000 0.0000
Y 0.5000 0.5000 0.5000
As 0.5000 0.0000 0.0000

Computed, not measured: a PBEsol-optimized structure of NaAsI2N at the SCAN level of DFT.

Values from the calculation:
Space group ... P4/mmm
Mass density ... 4.473 g cm⁻³
Spin magnetization ... 3.2 μB per cell
Raw formation energy ... 1002.0 meV per atom

Lattice parameters (Å, degrees): 4.2604 5.6449 5.6449 90.00 90.00 90.00
Fractional positions:
I 0.0000 0.5000 0.0000
I 0.0000 0.0000 0.5000
Na 0.0000 0.0000 0.0000
N 0.5000 0.0000 0.0000
As 0.5000 0.5000 0.5000